Record 1
Rb2HfCo | PBE | relaxed

Unit cell a=8.5127 b=8.5127 c=8.5127 alpha=90.00 beta=90.00 gamma=90.00
Last column: nearest neighbours and their distance in Å.
Sites, in units of the cell vectors:
Rb1 0.2500 0.2500 0.2500  4 Hf 3.69, 4 Co 3.69
Rb2 0.2500 0.2500 0.7500  4 Hf 3.69, 4 Co 3.69
Rb3 0.2500 0.7500 0.2500  4 Hf 3.69, 4 Co 3.69
Rb4 0.2500 0.7500 0.7500  4 Hf 3.69, 4 Co 3.69
Rb5 0.7500 0.2500 0.2500  4 Hf 3.69, 4 Co 3.69
Rb6 0.7500 0.2500 0.7500  4 Hf 3.69, 4 Co 3.69
Rb7 0.7500 0.7500 0.2500  4 Hf 3.69, 4 Co 3.69
Rb8 0.7500 0.7500 0.7500  4 Hf 3.69, 4 Co 3.69
Hf1 0.0000 0.0000 0.0000  8 Rb 3.69
Hf2 0.0000 0.5000 0.5000  8 Rb 3.69
Hf3 0.5000 0.0000 0.5000  8 Rb 3.69
Hf4 0.5000 0.5000 0.0000  8 Rb 3.69
Co1 0.0000 0.0000 0.5000  8 Rb 3.69
Co2 0.0000 0.5000 0.0000  8 Rb 3.69
Co3 0.5000 0.0000 0.0000  8 Rb 3.69
Co4 0.5000 0.5000 0.5000  8 Rb 3.69

Calculated values
space group: Fm-3m
M_tot: 2.44 μB per cell
polymorph energy (0 for the lowest one): 838 meV per atom
raw total energy: -45.8 eV per cell

=====

Record 2
RbHf2Co2 | PBE | relaxed

Unit cell a=8.1623 b=8.1623 c=3.0691 alpha=90.00 beta=90.00 gamma=90.00
Last column: nearest neighbours and their distance in Å.
Sites, in units of the cell vectors:
Rb1 0.0000 0.0000 0.0000  2 Rb 3.07, 4 Co 3.22
Rb2 0.5000 0.5000 0.0000  2 Rb 3.07, 4 Co 3.22
Hf1 0.1325 0.3675 0.5000  4 Co 2.62
Hf2 0.3675 0.8675 0.5000  4 Co 2.62
Hf3 0.6325 0.1325 0.5000  4 Co 2.62
Hf4 0.8675 0.6325 0.5000  4 Co 2.62
Co1 0.1271 0.6271 0.0000  4 Hf 2.62
Co2 0.3729 0.1271 0.0000  4 Hf 2.62
Co3 0.6271 0.8729 0.0000  4 Hf 2.62
Co4 0.8729 0.3729 0.0000  4 Hf 2.62

Calculated values
space group: P4/mbm
M_tot: 0.00 μB per cell
polymorph energy (0 for the lowest one): 26 meV per atom
raw total energy: -66.3 eV per cell

=====

Record 3
RbHf2Co2 | PBE | relaxed

Unit cell a=4.3191 b=4.3191 c=13.8773 alpha=90.00 beta=90.00 gamma=90.00
Last column: nearest neighbours and their distance in Å.
Sites, in units of the cell vectors:
Rb1 0.0000 0.0000 0.0000  8 Co 3.71, 8 Hf 4.09
Rb2 0.5000 0.5000 0.5000  8 Co 3.71, 8 Hf 4.09
Hf1 0.0000 0.5000 0.2500  4 Co 2.56
Hf2 0.0000 0.5000 0.7500  4 Co 2.56
Hf3 0.5000 0.0000 0.2500  4 Co 2.56
Hf4 0.5000 0.0000 0.7500  4 Co 2.56
Co1 0.0000 0.0000 0.3485  4 Hf 2.56
Co2 0.0000 0.0000 0.6515  4 Hf 2.56
Co3 0.5000 0.5000 0.1515  4 Hf 2.56
Co4 0.5000 0.5000 0.8485  4 Hf 2.56

Calculated values
space group: I4/mmm
M_tot: 0.00 μB per cell
polymorph energy (0 for the lowest one): 0 meV per atom
raw total energy: -66.6 eV per cell

=====

Record 4
RbHf2Co | PBE | relaxed

Unit cell a=6.8784 b=6.8784 c=6.8784 alpha=90.00 beta=90.00 gamma=90.00
Last column: nearest neighbours and their distance in Å.
Sites, in units of the cell vectors:
Rb1 0.0000 0.0000 0.0000  8 Hf 2.98
Rb2 0.0000 0.5000 0.5000  8 Hf 2.98
Rb3 0.5000 0.0000 0.5000  8 Hf 2.98
Rb4 0.5000 0.5000 0.0000  8 Hf 2.98
Hf1 0.2500 0.2500 0.2500  4 Co 2.98, 4 Rb 2.98
Hf2 0.2500 0.2500 0.7500  4 Co 2.98, 4 Rb 2.98
Hf3 0.2500 0.7500 0.2500  4 Co 2.98, 4 Rb 2.98
Hf4 0.2500 0.7500 0.7500  4 Co 2.98, 4 Rb 2.98
Hf5 0.7500 0.2500 0.2500  4 Co 2.98, 4 Rb 2.98
Hf6 0.7500 0.2500 0.7500  4 Co 2.98, 4 Rb 2.98
Hf7 0.7500 0.7500 0.2500  4 Co 2.98, 4 Rb 2.98
Hf8 0.7500 0.7500 0.7500  4 Rb 2.98, 4 Co 2.98
Co1 0.0000 0.0000 0.5000  8 Hf 2.98
Co2 0.0000 0.5000 0.0000  8 Hf 2.98
Co3 0.5000 0.0000 0.0000  8 Hf 2.98
Co4 0.5000 0.5000 0.5000  8 Hf 2.98

Calculated values
space group: Fm-3m
M_tot: 0.00 μB per cell
polymorph energy (0 for the lowest one): 29 meV per atom
raw total energy: -93.4 eV per cell

=====

Record 5
RbHf3Co | PBE | relaxed

Unit cell a=4.9991 b=4.9991 c=4.9991 alpha=90.00 beta=90.00 gamma=90.00
Last column: nearest neighbours and their distance in Å.
Sites, in units of the cell vectors:
Rb1 0.0000 0.0000 0.0000  12 Hf 3.53
Hf1 0.0000 0.5000 0.5000  2 Co 2.50
Hf2 0.5000 0.0000 0.5000  2 Co 2.50
Hf3 0.5000 0.5000 0.0000  2 Co 2.50
Co1 0.5000 0.5000 0.5000  6 Hf 2.50

Calculated values
space group: Pm-3m
M_tot: 0.00 μB per cell
polymorph energy (0 for the lowest one): 0 meV per atom
raw total energy: -34.6 eV per cell

=====

Record 6
Rb3HfCo | PBE | relaxed

Unit cell a=6.8525 b=6.8525 c=6.8525 alpha=90.00 beta=90.00 gamma=90.00
Last column: nearest neighbours and their distance in Å.
Sites, in units of the cell vectors:
Rb1 0.0000 0.0000 0.5000  2 Hf 3.43
Rb2 0.0000 0.5000 0.0000  2 Hf 3.43
Rb3 0.5000 0.0000 0.0000  2 Hf 3.43
Hf1 0.0000 0.0000 0.0000  6 Rb 3.43
Co1 0.5000 0.5000 0.5000  12 Rb 4.85

Calculated values
space group: Pm-3m
M_tot: 2.00 μB per cell
raw total energy: -10.7 eV per cell

=====

Record 7
Rb2HfCo | PBE | relaxed

Unit cell a=13.4807 b=13.4807 c=4.4857 alpha=90.00 beta=90.00 gamma=90.00
Last column: nearest neighbours and their distance in Å.
Sites, in units of the cell vectors:
Rb1 0.0799 0.2500 0.1250  2 Co 3.58, 2 Hf 3.92
Rb2 0.2500 0.5799 0.3750  2 Co 3.58, 2 Hf 3.92
Rb3 0.2500 0.9201 0.8750  2 Co 3.58, 2 Hf 3.92
Rb4 0.4201 0.2500 0.6250  2 Co 3.58, 2 Hf 3.92
Rb5 0.5799 0.7500 0.6250  2 Co 3.58, 2 Hf 3.92
Rb6 0.7500 0.0799 0.8750  2 Co 3.58, 2 Hf 3.92
Rb7 0.7500 0.4201 0.3750  2 Co 3.58, 2 Hf 3.92
Rb8 0.9201 0.7500 0.1250  2 Co 3.58, 2 Hf 3.92
Hf1 0.0000 0.0000 0.5000  2 Co 2.24
Hf2 0.0000 0.5000 0.7500  2 Co 2.24
Hf3 0.5000 0.0000 0.2500  2 Co 2.24
Hf4 0.5000 0.5000 0.0000  2 Co 2.24
Co1 0.0000 0.0000 0.0000  2 Hf 2.24
Co2 0.0000 0.5000 0.2500  2 Hf 2.24
Co3 0.5000 0.0000 0.7500  2 Hf 2.24
Co4 0.5000 0.5000 0.5000  2 Hf 2.24

Calculated values
space group: I-42d
M_tot: 0.00 μB per cell
polymorph energy (0 for the lowest one): 0 meV per atom
raw total energy: -59.2 eV per cell

=====

Record 8
RbHfCo3 | PBE | relaxed

Unit cell a=4.8363 b=4.8363 c=4.8363 alpha=90.00 beta=90.00 gamma=90.00
Last column: nearest neighbours and their distance in Å.
Sites, in units of the cell vectors:
Rb1 0.0000 0.0000 0.0000  12 Co 3.42
Hf1 0.5000 0.5000 0.5000  6 Co 2.42
Co1 0.0000 0.5000 0.5000  2 Hf 2.42
Co2 0.5000 0.0000 0.5000  2 Hf 2.42
Co3 0.5000 0.5000 0.0000  2 Hf 2.42

Calculated values
space group: Pm-3m
M_tot: 2.02 μB per cell
polymorph energy (0 for the lowest one): 0 meV per atom
raw total energy: -25.5 eV per cell

=====

Record 9
RbHf3Co | PBE | relaxed

Unit cell a=4.9487 b=4.9487 c=4.9487 alpha=90.00 beta=90.00 gamma=90.00
Last column: nearest neighbours and their distance in Å.
Sites, in units of the cell vectors:
Rb1 0.0000 0.0000 0.0000  6 Hf 2.47
Hf1 0.0000 0.0000 0.5000  2 Rb 2.47
Hf2 0.0000 0.5000 0.0000  2 Rb 2.47
Hf3 0.5000 0.0000 0.0000  2 Rb 2.47
Co1 0.5000 0.5000 0.5000  12 Hf 3.50

Calculated values
space group: Pm-3m
M_tot: 1.11 μB per cell
polymorph energy (0 for the lowest one): 1998 meV per atom
raw total energy: -24.6 eV per cell

=====

Record 10
RbHf2Co | PBE | relaxed

Unit cell a=6.5511 b=6.5511 c=13.4618 alpha=90.00 beta=90.00 gamma=90.00
Last column: nearest neighbours and their distance in Å.
Sites, in units of the cell vectors:
Rb1 0.0000 0.2500 0.3750  8 Hf 4.03
Rb2 0.0000 0.7500 0.6250  8 Hf 4.03
Rb3 0.5000 0.2500 0.1250  8 Hf 4.03
Rb4 0.5000 0.7500 0.8750  8 Hf 4.03
Hf1 0.0000 0.0000 0.0000  2 Co 2.35
Hf2 0.0000 0.5000 0.0000  2 Co 2.35
Hf3 0.2500 0.2500 0.7500  2 Co 2.35
Hf4 0.2500 0.7500 0.2500  2 Co 2.35
Hf5 0.5000 0.0000 0.5000  2 Co 2.35
Hf6 0.5000 0.5000 0.5000  2 Co 2.35
Hf7 0.7500 0.2500 0.7500  2 Co 2.35
Hf8 0.7500 0.7500 0.2500  2 Co 2.35
Co1 0.0000 0.2500 0.8750  4 Hf 2.35
Co2 0.0000 0.7500 0.1250  4 Hf 2.35
Co3 0.5000 0.2500 0.6250  4 Hf 2.35
Co4 0.5000 0.7500 0.3750  4 Hf 2.35

Calculated values
space group: I4_1/amd
M_tot: 0.00 μB per cell
polymorph energy (0 for the lowest one): 0 meV per atom
raw total energy: -93.8 eV per cell